Entry 1:
Computed, not measured: crystalline NaInNiOs2 at its relaxed geometry at the PBE level of DFT.

Lattice parameters (Å, degrees): 4.638 4.201 4.638 90.00 90.00 90.00
Site moments in Bohr magnetons follow the coordinates.
Positions (direct):
Ni1 0.000 0.500 0.000  0.62
Os1 0.000 0.000 0.500  1.38
In1 0.500 0.500 0.500  -0.04
Na1 0.000 0.000 0.000  0.01
Os2 0.500 0.000 0.000  1.33

Results
As for the uncorrected energy: -20.85 eV per cell. As for the total magnetic moment: 3.4 μB per cell. Its density of states at the Fermi level is 8.00 states/eV/f.u. The space-group type is P4/mmm (123).

***

Entry 2:
Computed, not measured: crystalline NaInNiPb2 at its relaxed geometry at the PBE level of DFT.

Lattice parameters (Å, degrees): 5.231 5.231 5.054 90.00 90.00 90.00
Positions (direct):
Na1 0.500 0.500 0.500
Ni1 0.000 0.000 0.000
Pb1 0.000 0.500 0.000
In1 0.000 0.000 0.500
Pb2 0.500 0.000 0.000

Results
As for the uncorrected energy: -17.10 eV per cell. As for the total magnetic moment: 0.0 μB per cell. Its density of states at the Fermi level is 3.35 states/eV/f.u. The space-group type is P4/mmm (123).

***

Entry 3:
Computed, not measured: crystalline NaInReNi2 at its relaxed geometry at the PBE level of DFT.

Lattice parameters (Å, degrees): 4.560 5.386 4.560 90.00 90.00 90.00
Site moments in Bohr magnetons follow the coordinates.
Positions (direct):
Re1 0.000 0.000 0.000  0.51
Ni1 0.000 0.000 0.500  0.18
Na1 0.000 0.500 0.000  0.01
In1 0.500 0.500 0.500  -0.01
Ni2 0.500 0.000 0.000  0.11

Results
As for the uncorrected energy: -21.80 eV per cell. As for the total magnetic moment: 0.9 μB per cell. Its density of states at the Fermi level is 5.72 states/eV/f.u. The space-group type is P4/mmm (123).

***

Entry 4:
Computed, not measured: crystalline NaTa2InNi at its relaxed geometry at the PBE level of DFT.

Lattice parameters (Å, degrees): 4.672 4.766 4.672 90.00 90.00 90.00
Positions (direct):
Ni1 0.500 0.500 0.500
Ta1 0.500 0.000 0.000
Ta2 0.000 0.000 0.500
Na1 0.000 0.000 0.000
In1 0.000 0.500 0.000

Results
As for the uncorrected energy: -22.23 eV per cell. As for the total magnetic moment: 0.0 μB per cell. Its density of states at the Fermi level is 4.85 states/eV/f.u. The space-group type is P4/mmm (123).

***

Entry 5:
Computed, not measured: crystalline NaTlIn2Ni at its relaxed geometry at the PBE level of DFT.

Lattice parameters (Å, degrees): 4.949 4.949 5.457 90.00 90.00 90.00
Positions (direct):
In1 0.000 0.500 0.000
Na1 0.000 0.000 0.500
Ni1 0.000 0.000 0.000
In2 0.500 0.000 0.000
Tl1 0.500 0.500 0.500

Results
The energy relative to the lowest polymorph listed for this composition is 18 kJ/mol of formula units. As for the total magnetic moment: 0.0 μB per cell. Its density of states at the Fermi level is 2.38 states/eV/f.u. The space-group type is P4/mmm (123).

***

Entry 6:
Computed, not measured: crystalline NaTl2InNi at its relaxed geometry at the PBE level of DFT.

Lattice parameters (Å, degrees): 5.164 5.164 5.054 90.00 90.00 90.00
Positions (direct):
In1 0.000 0.000 0.500
Na1 0.500 0.500 0.500
Tl1 0.000 0.500 0.000
Tl2 0.500 0.000 0.000
Ni1 0.000 0.000 0.000

Results
As for the uncorrected energy: -14.53 eV per cell. As for the total magnetic moment: 0.0 μB per cell. Its density of states at the Fermi level is 2.65 states/eV/f.u. The space-group type is P4/mmm (123).

***

Entry 7:
Computed, not measured: crystalline NaTlIn2Ni at its relaxed geometry at the PBE level of DFT.

Lattice parameters (Å, degrees): 5.032 5.032 5.164 90.00 90.00 90.00
Positions (direct):
Tl1 0.000 0.000 0.500
Ni1 0.000 0.000 0.000
Na1 0.500 0.500 0.500
In1 0.500 0.000 0.000
In2 0.000 0.500 0.000

Results
The energy relative to the lowest polymorph listed for this composition is 0 kJ/mol of formula units. As for the total magnetic moment: 0.0 μB per cell. Its density of states at the Fermi level is 2.74 states/eV/f.u. The space-group type is P4/mmm (123).

***

Entry 8:
Computed, not measured: crystalline Na2YInNi at its relaxed geometry at the PBE level of DFT.

Lattice parameters (Å, degrees): 5.191 5.158 5.191 90.00 90.00 90.00
Positions (direct):
Na1 0.500 0.000 0.000
Na2 0.000 0.000 0.500
Ni1 0.000 0.000 0.000
In1 0.500 0.500 0.500
Y1 0.000 0.500 0.000

Results
As for the uncorrected energy: -16.40 eV per cell. As for the total magnetic moment: 0.0 μB per cell. Its density of states at the Fermi level is 3.78 states/eV/f.u. The space-group type is P4/mmm (123).

***

Entry 9:
Computed, not measured: crystalline NaZn2InNi at its relaxed geometry at the PBE level of DFT.

Lattice parameters (Å, degrees): 4.709 4.709 4.878 90.00 90.00 90.00
Positions (direct):
Ni1 0.000 0.000 0.000
In1 0.000 0.000 0.500
Na1 0.500 0.500 0.500
Zn1 0.500 0.000 0.000
Zn2 0.000 0.500 0.000

Results
As for the uncorrected energy: -12.50 eV per cell. As for the total magnetic moment: 0.0 μB per cell. Its density of states at the Fermi level is 1.98 states/eV/f.u. The space-group type is P4/mmm (123).

***

Entry 10:
Computed, not measured: crystalline NaNpIn2 at its relaxed geometry at the PBE level of DFT.

Lattice parameters (Å, degrees): 3.136 3.136 10.161 90.00 90.00 90.00
Site moments in Bohr magnetons follow the coordinates.
Positions (direct):
In1 0.000 0.000 0.247  -0.04
In2 0.000 0.000 0.753  -0.04
Na1 0.500 0.500 0.500  0.00
Np1 0.500 0.500 0.000  4.20

Results
As for the uncorrected energy: -19.51 eV per cell. As for the total magnetic moment: 4.4 μB per cell. Its density of states at the Fermi level is 6.49 states/eV/f.u. The space-group type is P4/mmm (123).

***

Entry 11:
Computed, not measured: crystalline NaNpIn4 at its relaxed geometry at the PBE level of DFT.

Lattice parameters (Å, degrees): 6.109 6.109 6.109 60.00 60.00 60.00
Site moments in Bohr magnetons follow the coordinates.
Positions (direct):
Na1 0.250 0.250 0.250  0.01
In1 0.625 0.625 0.124  0.02
In2 0.124 0.625 0.625  0.02
In3 0.625 0.625 0.625  0.02
Np1 0.000 0.000 0.000  4.36
In4 0.625 0.124 0.625  0.02

Results
As for the uncorrected energy: -24.41 eV per cell. As for the total magnetic moment: 5.0 μB per cell. Its density of states at the Fermi level is 12.85 states/eV/f.u. The space-group type is F-43m (216).

***

Entry 12:
Computed, not measured: crystalline NaNpIn at its relaxed geometry at the PBE level of DFT.

Lattice parameters (Å, degrees): 5.542 5.539 36.234 145.02 166.13 36.65
Site moments in Bohr magnetons follow the coordinates.
Positions (direct):
In1 0.607 0.289 0.764  0.00
Np1 0.513 0.847 0.033  1.38
Np2 0.487 0.153 0.967  1.38
Na1 0.112 0.566 0.409  0.00
In2 0.393 0.711 0.236  0.00
Na2 0.888 0.434 0.591  0.00

Results
As for the uncorrected energy: -33.29 eV per cell. As for the total magnetic moment: 2.8 μB per cell. Its density of states at the Fermi level is 4.31 states/eV/f.u. The space-group type is P-1 (2).